(1)
Tb12CdNi5 | PBE-GGA | optimized geometry

For the energy of formation, the calculation gives -0.298 eV per atom. The total energy comes out at -5.0414 eV/atom.

It has space group Immm (No. 71), with a = 9.392 Å, b = 9.602 Å, c = 9.919 Å, α = 90.00°, β = 90.00° and γ = 90.00°. The distinct sites, in fractional coordinates, are Tb at (0.000, 0.190, 0.213), Tb at (0.195, 0.500, 0.177), Tb at (0.206, 0.319, 0.500), Cd at (0.000, 0.000, 0.500), Ni at (0.000, 0.000, 0.000), Ni at (0.000, 0.364, 0.000) and Ni at (0.000, 0.500, 0.376).


(2)
Tb2Cd3Ni2 | PBE-GGA | optimized geometry

For the energy of formation, the calculation gives -0.332 eV per atom. The total energy comes out at -3.6985 eV/atom.

It has space group C2/m (No. 12), with a = 10.067 Å, b = 3.930 Å, c = 7.419 Å, α = 90.00°, β = 96.68° and γ = 90.00°. The distinct sites, in fractional coordinates, are Tb at (0.124, 0.000, 0.359), Cd at (0.000, 0.500, 0.000), Cd at (0.188, 0.000, 0.856) and Ni at (0.082, 0.500, 0.633).


(3)
Tb11Cd9Ni4 | PBE-GGA | optimized geometry

For the energy of formation, the calculation gives -0.386 eV per atom. The total energy comes out at -3.8153 eV/atom.

It has space group Cmmm (No. 65), with a = 14.567 Å, b = 21.900 Å, c = 3.581 Å, α = 90.00°, β = 90.00° and γ = 90.00°. The distinct sites, in fractional coordinates, are Tb at (0.000, 0.000, 0.000), Tb at (0.000, 0.161, 0.000), Tb at (0.000, 0.374, 0.000), Tb at (0.189, 0.500, 0.000), Tb at (0.250, 0.168, 0.000), Cd at (0.000, 0.500, 0.500), Cd at (0.104, 0.262, 0.500), Cd at (0.148, 0.070, 0.500) and Ni at (0.149, 0.400, 0.500).


(4)
Tb12CdNi6 | PBE-GGA | optimized geometry

For the energy of formation, the calculation gives -0.323 eV per atom. The total energy comes out at -5.1213 eV/atom.

It has space group Im-3 (No. 204), with a = 9.739 Å, b = 9.739 Å, c = 9.739 Å, α = 90.00°, β = 90.00° and γ = 90.00°. The distinct sites, in fractional coordinates, are Tb at (0.000, 0.304, 0.187), Cd at (0.000, 0.000, 0.000) and Ni at (0.000, 0.123, 0.500).


(5)
Tb5CdNi | PBE-GGA | optimized geometry

For the energy of formation, the calculation gives -0.067 eV per atom. The total energy comes out at -4.3307 eV/atom.

It has space group C2/c (No. 15), with a = 10.745 Å, b = 6.864 Å, c = 11.411 Å, α = 90.00°, β = 110.17° and γ = 90.00°. The distinct sites, in fractional coordinates, are Tb at (0.000, 0.002, 0.250), Tb at (0.125, 0.328, 0.550), Tb at (0.226, 0.179, 0.136), Cd at (0.000, 0.463, 0.250) and Ni at (0.000, 0.000, 0.000).


(6)
Tb2Cd2Ni15 | PBE-GGA | optimized geometry

For the energy of formation, the calculation gives -0.154 eV per atom. The total energy comes out at -5.3019 eV/atom.

It has space group R-3m (No. 166, hexagonal axes), with a = 8.4766 Å, b = 8.4766 Å, c = 12.3489 Å, α = 90.00°, β = 90.00° and γ = 120.00°. The distinct sites, in fractional coordinates, are Tb at (0.0000, 0.0000, 0.1482), Cd at (0.0000, 0.0000, 0.3946), Ni at (0.0000, 0.3072, 0.5000), Ni at (0.0000, 0.5000, 0.0000) and Ni at (0.0072, 0.5036, 0.6560).


(7)
Tb2CdNi | PBE-GGA | optimized geometry

For the energy of formation, the calculation gives -0.007 eV per atom. The total energy comes out at -3.9967 eV/atom.

It has space group R-3m (No. 166, hexagonal axes), with a = 3.9137 Å, b = 3.9137 Å, c = 28.3449 Å, α = 90.00°, β = 90.00° and γ = 120.00°. The distinct sites, in fractional coordinates, are Tb at (0.0000, 0.0000, 0.1157), Cd at (0.0000, 0.0000, 0.0000) and Ni at (0.0000, 0.0000, 0.5000).


(8)
Tb5CdNi2 | PBE-GGA | optimized geometry

For the energy of formation, the calculation gives -0.292 eV per atom. The total energy comes out at -4.7461 eV/atom.

It has space group I4/mcm (No. 140), with a = 7.761 Å, b = 7.761 Å, c = 13.208 Å, α = 90.00°, β = 90.00° and γ = 90.00°. The distinct sites, in fractional coordinates, are Tb at (0.000, 0.000, 0.000), Tb at (0.160, 0.340, 0.135), Cd at (0.000, 0.000, 0.250) and Ni at (0.125, 0.375, 0.500).


(9)
TbCd4Ni | PBE-GGA | optimized geometry

For the energy of formation, the calculation gives -0.088 eV per atom. The total energy comes out at -2.4333 eV/atom.

It has space group Immm (No. 71), with a = 5.321 Å, b = 6.977 Å, c = 14.157 Å, α = 90.00°, β = 90.00° and γ = 90.00°. The distinct sites, in fractional coordinates, are Tb at (0.000, 0.000, 0.207), Cd at (0.000, 0.195, 0.000), Cd at (0.000, 0.274, 0.385), Cd at (0.000, 0.500, 0.165) and Ni at (0.226, 0.000, 0.500).


(10)
Tb4CdNi2 | PBE-GGA | optimized geometry

For the energy of formation, the calculation gives -0.169 eV per atom. The total energy comes out at -4.5977 eV/atom.

It has space group R-3m (No. 166, hexagonal axes), with a = 4.6957 Å, b = 4.6957 Å, c = 27.7263 Å, α = 90.00°, β = 90.00° and γ = 120.00°. The distinct sites, in fractional coordinates, are Tb at (0.0000, 0.0000, 0.1100), Tb at (0.0000, 0.0000, 0.2982), Cd at (0.0000, 0.0000, 0.5000) and Ni at (0.0000, 0.0000, 0.4014).


(11)
Tb2Cd3Ni2 | PBE-GGA | optimized geometry

For the energy of formation, the calculation gives -0.358 eV per atom. The total energy comes out at -3.7247 eV/atom.

It has space group Cmmm (No. 65), with a = 3.916 Å, b = 20.609 Å, c = 3.680 Å, α = 90.00°, β = 90.00° and γ = 90.00°. The distinct sites, in fractional coordinates, are Tb at (0.000, 0.173, 0.000), Cd at (0.000, 0.000, 0.000), Cd at (0.000, 0.422, 0.500) and Ni at (0.000, 0.286, 0.500).


(12)
Tb5Cd2Ni2 | PBE-GGA | optimized geometry

For the energy of formation, the calculation gives -0.282 eV per atom. The total energy comes out at -4.3424 eV/atom.

It has space group Cmce (No. 64), with a = 16.201 Å, b = 7.362 Å, c = 7.576 Å, α = 90.00°, β = 90.00° and γ = 90.00°. The distinct sites, in fractional coordinates, are Tb at (0.000, 0.000, 0.000), Tb at (0.117, 0.178, 0.321), Cd at (0.222, 0.000, 0.000) and Ni at (0.000, 0.120, 0.621).


(13)
TbCd2Ni | PBE-GGA | optimized geometry

For the energy of formation, the calculation gives 0.310 eV per atom. The total energy comes out at -2.7506 eV/atom.

It has space group R-3m (No. 166, hexagonal axes), with a = 3.1602 Å, b = 3.1602 Å, c = 30.9119 Å, α = 90.00°, β = 90.00° and γ = 120.00°. The distinct sites, in fractional coordinates, are Tb at (0.0000, 0.0000, 0.0000), Cd at (0.0000, 0.0000, 0.1024) and Ni at (0.0000, 0.0000, 0.5000).


(14)
TbCdNi4 | PBE-GGA | optimized geometry

For the energy of formation, the calculation gives -0.353 eV per atom. The total energy comes out at -5.1315 eV/atom.

It has space group F-43m (No. 216), with a = 7.047 Å, b = 7.047 Å, c = 7.047 Å, α = 90.00°, β = 90.00° and γ = 90.00°. The distinct sites, in fractional coordinates, are Tb at (0.000, 0.000, 0.000), Cd at (0.250, 0.250, 0.250) and Ni at (0.124, 0.124, 0.624).


(15)
Tb3Cd2Ni | PBE-GGA | optimized geometry

For the energy of formation, the calculation gives -0.168 eV per atom. The total energy comes out at -3.7520 eV/atom.

It has space group C2/c (No. 15), with a = 15.289 Å, b = 5.868 Å, c = 7.449 Å, α = 90.00°, β = 104.07° and γ = 90.00°. The distinct sites, in fractional coordinates, are Tb at (0.000, 0.002, 0.250), Tb at (0.124, 0.499, 0.062), Cd at (0.195, 0.001, 0.599) and Ni at (0.000, 0.498, 0.750).


(16)
Tb3CdNi8 | PBE-GGA | optimized geometry

For the energy of formation, the calculation gives -0.397 eV per atom. The total energy comes out at -5.4853 eV/atom.

It has space group R3m (No. 160, hexagonal axes), with a = 5.0263 Å, b = 5.0263 Å, c = 24.7568 Å, α = 90.00°, β = 90.00° and γ = 120.00°. The distinct sites, in fractional coordinates, are Tb at (0.0000, 0.0000, 0.0000), Tb at (0.0000, 0.0000, 0.1280), Tb at (0.0000, 0.0000, 0.6175), Cd at (0.0000, 0.0000, 0.4959), Ni at (0.0000, 0.0000, 0.3108), Ni at (0.0000, 0.0000, 0.8109), Ni at (0.0009, 0.5005, 0.0607) and Ni at (0.0031, 0.5015, 0.5608).


(17)
TbCdNi2 | PBE-GGA | optimized geometry

For the energy of formation, the calculation gives -0.158 eV per atom. The total energy comes out at -4.4353 eV/atom.

It has space group P4/mmm (No. 123), with a = 4.541 Å, b = 4.541 Å, c = 3.350 Å, α = 90.00°, β = 90.00° and γ = 90.00°. The distinct sites, in fractional coordinates, are Tb at (0.000, 0.000, 0.000), Cd at (0.500, 0.500, 0.000) and Ni at (0.000, 0.500, 0.500).


(18)
Tb2CdNi | PBE-GGA | optimized geometry

For the energy of formation, the calculation gives -0.257 eV per atom. The total energy comes out at -4.2459 eV/atom.

It has space group Fm-3m (No. 225), with a = 7.174 Å, b = 7.174 Å, c = 7.174 Å, α = 90.00°, β = 90.00° and γ = 90.00°. The distinct sites, in fractional coordinates, are Tb at (0.250, 0.250, 0.250), Cd at (0.000, 0.000, 0.000) and Ni at (0.000, 0.000, 0.500).


(19)
Tb6CdNi2 | PBE-GGA | optimized geometry

For the energy of formation, the calculation gives -0.283 eV per atom. The total energy comes out at -4.7558 eV/atom.

It has space group Immm (No. 71), with a = 9.311 Å, b = 9.742 Å, c = 10.154 Å, α = 90.00°, β = 90.00° and γ = 90.00°. The distinct sites, in fractional coordinates, are Tb at (0.000, 0.200, 0.233), Tb at (0.192, 0.500, 0.177), Tb at (0.208, 0.317, 0.500), Cd at (0.000, 0.000, 0.000), Cd at (0.000, 0.000, 0.500), Ni at (0.000, 0.353, 0.000) and Ni at (0.000, 0.500, 0.378).


(20)
TbCdNi5 | PBE-GGA | optimized geometry

For the energy of formation, the calculation gives -0.248 eV per atom. The total energy comes out at -5.1698 eV/atom.

It has space group Pnma (No. 62), with a = 8.103 Å, b = 4.842 Å, c = 10.309 Å, α = 90.00°, β = 90.00° and γ = 90.00°. The distinct sites, in fractional coordinates, are Tb at (0.248, 0.250, 0.061), Cd at (0.136, 0.750, 0.864), Ni at (0.047, 0.750, 0.110), Ni at (0.068, 0.000, 0.313), Ni at (0.081, 0.250, 0.517) and Ni at (0.188, 0.250, 0.739).